Version w
Below is crystalline ScTaPO at its relaxed geometry, with properties calculated at the PBE level.

```
data_ScTaPO
_cell_length_a 3.597
_cell_length_b 3.597
_cell_length_c 8.485
_cell_angle_alpha 90.00
_cell_angle_beta 90.00
_cell_angle_gamma 90.00
_space_group_name_H-M_alt 'P 4/n m m'
_space_group_IT_number 129
loop_
_space_group_symop_operation_xyz
'x,y,z'
'-x,-y,-z'
'-y+1/2,x,z'
'y+1/2,-x,-z'
'-x+1/2,-y+1/2,z'
'x+1/2,y+1/2,-z'
'y,-x+1/2,z'
'-y,x+1/2,-z'
'x+1/2,-y,-z'
'-x+1/2,y,z'
'-y,-x,-z'
'y,x,z'
'-x,y+1/2,-z'
'x,-y+1/2,z'
'y+1/2,x+1/2,-z'
'-y+1/2,-x+1/2,z'
loop_
_atom_site_label
_atom_site_type_symbol
_atom_site_fract_x
_atom_site_fract_y
_atom_site_fract_z
_atom_site_occupancy
Sc1 Sc 0.250 0.750 0.000 1
Ta1 Ta 0.250 0.250 0.349 1
P1 P 0.250 0.250 0.772 1
O1 O 0.250 0.750 0.500 1
```

Output
- V: 13.7 A^3/atom

Version x
Below is crystalline ScTaPO at its relaxed geometry, with properties calculated at the PBE level.

```
data_ScTaPO
_cell_length_a 4.055
_cell_length_b 4.768
_cell_length_c 6.151
_cell_angle_alpha 90.00
_cell_angle_beta 90.00
_cell_angle_gamma 90.00
_space_group_name_H-M_alt 'P m c 21'
_space_group_IT_number 26
loop_
_space_group_symop_operation_xyz
'x,y,z'
'-x,-y,z+1/2'
'-x,y,z'
'x,-y,z+1/2'
loop_
_atom_site_label
_atom_site_type_symbol
_atom_site_fract_x
_atom_site_fract_y
_atom_site_fract_z
_atom_site_occupancy
Sc1 Sc 0.000 0.182 0.000 1
Ta1 Ta 0.500 0.383 0.343 1
P1 P 0.500 0.120 0.698 1
O1 O 0.000 0.397 0.334 1
```

Output
- V: 14.9 A^3/atom

Consider the structures shown above. The most stable of them is version x.